1.
PrYAg, relaxed, DFT PBE; relative energy among the computed polymorphs = 0.005 eV per atom; DFT formation energy = -163 meV/atom
1.0
-2.4203 2.7303 0.2282
-2.6195 -2.3952 0.8750
3.9459 0.5708 5.7382
Pr Y Ag
1 1 1
direct
0.0143 0.0143 0.0287 Pr
0.3099 0.3099 0.6198 Y
0.6758 0.6758 0.3516 Ag

2.
ScPI2N, relaxed, DFT PBE; formation energy (no corrections) = 0.440 eV per atom; relative energy among the computed polymorphs = 0.132 eV per atom
1.0
-3.4843 0.8037 4.5915
1.6287 -5.1613 2.1394
2.9567 1.7370 1.9397
I Sc N P
2 1 1 1
direct
0.0000 0.5000 0.0000 I
0.5000 0.0000 0.0000 I
0.0000 0.0000 0.0000 Sc
0.0000 0.0000 0.5000 N
0.5000 0.5000 0.5000 P

3.
Y2Zn2Pd5Au, relaxed, DFT PBE; DFT formation energy = -668 meV/atom
1.0
-3.1867 1.3190 1.7637
-4.1905 -8.5209 -1.1991
3.4714 -2.8944 8.4365
Y Zn Pd Au
4 4 10 2
direct
0.0000 0.6793 0.1793 Y
0.0000 0.3207 0.8207 Y
0.0000 0.1793 0.3207 Y
0.0000 0.8207 0.6793 Y
0.0000 0.1184 0.6184 Zn
0.0000 0.8816 0.3816 Zn
0.0000 0.6184 0.8816 Zn
0.0000 0.3816 0.1184 Zn
0.5000 0.2062 0.0688 Pd
0.5000 0.7938 0.9312 Pd
0.5000 0.0688 0.7938 Pd
0.5000 0.7062 0.4312 Pd
0.5000 0.9312 0.2062 Pd
0.5000 0.2938 0.5688 Pd
0.5000 0.5688 0.7062 Pd
0.5000 0.4312 0.2938 Pd
0.5000 0.5000 0.0000 Pd
0.5000 0.0000 0.5000 Pd
0.0000 0.0000 0.0000 Au
0.0000 0.5000 0.5000 Au

4.
AgHgSb2Te4, relaxed, DFT PBE; formation energy (no corrections) = -0.045 eV per atom
1.0
-2.8604 5.9289 -3.6908
0.1935 -6.0542 -4.5017
-2.7320 -1.0642 5.4369
Ag Hg Sb Te
1 1 2 4
direct
0.5619 0.5619 0.1237 Ag
0.0616 0.0616 0.1233 Hg
0.8130 0.3130 0.6259 Sb
0.3130 0.8130 0.6259 Sb
0.5621 0.5621 0.6246 Te
0.3238 0.8025 0.1263 Te
0.8025 0.3238 0.1263 Te
0.0625 0.0625 0.6246 Te

5.
CsAg2ICl6, relaxed, DFT PBE; formation energy (no corrections) = -0.654 eV per atom
1.0
7.8428 0.0630 1.2428
3.9893 6.1320 0.7157
4.8274 2.0975 8.4175
Cs Ag I Cl
1 2 1 6
direct
0.7703 0.7871 0.6191 Cs
0.5399 0.5032 0.3209 Ag
0.0071 0.1209 0.8812 Ag
0.2554 0.3095 0.1234 I
0.7829 0.4399 0.0164 Cl
0.2794 0.9144 0.3553 Cl
0.8631 0.4843 0.3571 Cl
0.2274 0.7060 0.8907 Cl
0.6395 0.1345 0.8901 Cl
0.2967 0.2618 0.5609 Cl

6.
K2TlAu, relaxed, DFT PBE; DFT formation energy = -68 meV/atom
1.0
-3.7696 1.9063 0.1202
-3.5319 -2.2700 -0.4799
-2.8565 -1.5919 9.9469
K Tl Au
2 1 1
direct
0.0716 0.0716 0.7853 K
0.2616 0.2616 0.2151 K
0.5004 0.5004 0.4987 Tl
0.6664 0.6664 0.0009 Au

7.
PmPr4Te5, relaxed, DFT PBE; formation energy (no corrections) = -1.433 eV per atom
1.0
-1.7415 -4.1212 -0.5606
3.2809 -1.7347 2.5607
-9.8716 4.9971 12.0639
Pm Pr Te
1 4 5
direct
0.0000 0.0000 0.0000 Pm
0.3977 0.3977 0.7955 Pr
0.8045 0.8045 0.6091 Pr
0.1955 0.1955 0.3909 Pr
0.6023 0.6023 0.2045 Pr
0.0973 0.0973 0.1945 Te
0.5000 0.5000 0.0000 Te
0.9027 0.9027 0.8055 Te
0.2973 0.2973 0.5946 Te
0.7027 0.7027 0.4054 Te

8.
Tb2TmRh, relaxed, DFT PBE; relative energy among the computed polymorphs = 0.033 eV per atom; DFT formation energy = -497 meV/atom
1.0
3.8080 -0.1566 0.0000
-1.6636 5.9460 0.0000
0.0000 0.0000 9.4555
Tb Tm Rh
4 2 2
direct
0.1376 0.2752 0.4332 Tb
0.8624 0.7248 0.5668 Tb
0.8624 0.7248 0.9332 Tb
0.1376 0.2752 0.0668 Tb
0.4224 0.8445 0.2500 Tm
0.5776 0.1555 0.7500 Tm
0.7437 0.4872 0.2500 Rh
0.2563 0.5128 0.7500 Rh

no.,volume (Å³/atom)
1,28.9
2,26.7
3,17.7
4,29.5
5,36.5
6,39.4
7,32.6
8,26.5